# 1
The following is a DFT calculation (PBE) of a relaxed structure of Na2AgGe.

Total DFT energy (no corrections), eV/atom: -2.346
DFT formation energy, eV per formula unit: 0.7
Symmetry: I-42d, No. 122

The structure in POSCAR format:
```
Na2AgGe
1.0
-4.154 4.154 2.707
4.154 -4.154 2.707
4.154 4.154 -2.707
Na Ag Ge
4 2 2
Direct
0.121 0.625 0.996 Na
0.375 0.371 0.496 Na
0.629 0.125 0.004 Na
0.875 0.879 0.504 Na
0.000 0.000 0.000 Ag
0.750 0.250 0.500 Ag
0.250 0.750 0.500 Ge
0.500 0.500 0.000 Ge
```

# 2
The following is a DFT calculation (PBE) of a relaxed structure of AcPr4Tm15.

Total DFT energy (no corrections), eV/atom: -4.476
DFT formation energy, eV per formula unit: 0.8
Symmetry: P4/mmm, No. 123

The structure in POSCAR format:
```
AcPr4Tm15
1.0
5.045 0.000 0.000
0.000 5.045 0.000
0.000 0.000 25.050
Ac Pr Tm
1 4 15
Direct
0.000 0.000 0.000 Ac
0.000 0.000 0.202 Pr
0.000 0.000 0.401 Pr
0.000 0.000 0.599 Pr
0.000 0.000 0.798 Pr
0.000 0.500 0.104 Tm
0.000 0.500 0.302 Tm
0.000 0.500 0.500 Tm
0.000 0.500 0.698 Tm
0.000 0.500 0.896 Tm
0.500 0.000 0.104 Tm
0.500 0.000 0.302 Tm
0.500 0.000 0.500 Tm
0.500 0.000 0.698 Tm
0.500 0.000 0.896 Tm
0.500 0.500 0.000 Tm
0.500 0.500 0.202 Tm
0.500 0.500 0.401 Tm
0.500 0.500 0.599 Tm
0.500 0.500 0.798 Tm
```

# 3
The following is a DFT calculation (PBE) of a relaxed structure of Mg2CuAs.

Total DFT energy (no corrections), eV/atom: -2.952
DFT formation energy, eV per formula unit: 0.1
Symmetry: F-43m, No. 216

The structure in POSCAR format:
```
Mg2CuAs
1.0
0.000 3.317 3.317
3.317 0.000 3.317
3.317 3.317 0.000
Mg Cu As
2 1 1
Direct
0.000 0.000 0.000 Mg
0.250 0.250 0.250 Mg
0.750 0.750 0.750 Cu
0.500 0.500 0.500 As
```

# 4
The following is a DFT calculation (PBE) of a relaxed structure of TlSnAu2.

Total DFT energy (no corrections), eV/atom: -3.245
DFT formation energy, eV per formula unit: -0.1
Symmetry: P4/mmm, No. 123

The structure in POSCAR format:
```
TlSnAu2
1.0
3.491 0.000 0.000
0.000 3.491 0.000
0.000 0.000 7.684
Tl Sn Au
1 1 2
Direct
0.000 0.000 0.000 Tl
0.000 0.000 0.500 Sn
0.500 0.500 0.275 Au
0.500 0.500 0.725 Au
```

# 5
The following is a DFT calculation (PBE) of a relaxed structure of SrLaW2.

Total DFT energy (no corrections), eV/atom: -6.793
DFT formation energy, eV per formula unit: 5.3
Symmetry: R-3m, No. 166

The structure in POSCAR format:
```
SrLaW2
1.0
1.515 0.875 11.343
-1.515 0.875 11.343
0.000 -1.749 11.343
Sr La W
1 1 2
Direct
0.000 0.000 0.000 Sr
0.500 0.500 0.500 La
0.250 0.250 0.250 W
0.750 0.750 0.750 W
```

# 6
The following is a DFT calculation (PBE) of a relaxed structure of ErTiCd2.

Total DFT energy (no corrections), eV/atom: -3.643
DFT formation energy, eV per formula unit: -0.3
Symmetry: P4/mmm, No. 123

The structure in POSCAR format:
```
ErTiCd2
1.0
3.544 0.000 0.000
0.000 3.544 0.000
0.000 0.000 7.052
Er Ti Cd
1 1 2
Direct
0.000 0.000 0.000 Er
0.000 0.000 0.500 Ti
0.500 0.500 0.278 Cd
0.500 0.500 0.722 Cd
```

# 7
The following is a DFT calculation (PBE) of a relaxed structure of Tl3ZnF5.

Total DFT energy (no corrections), eV/atom: -3.900
Uncorrected formation energy, meV per atom: -1930
Symmetry: I4/mcm, No. 140

The structure in POSCAR format:
```
Tl3ZnF5
1.0
-3.761 3.761 6.328
3.761 -3.761 6.328
3.761 3.761 -6.328
Tl Zn F
6 2 10
Direct
0.185 0.685 0.871 Tl
0.250 0.250 0.000 Tl
0.315 0.185 0.500 Tl
0.685 0.815 0.500 Tl
0.750 0.750 0.000 Tl
0.815 0.315 0.129 Tl
0.250 0.750 0.500 Zn
0.750 0.250 0.500 Zn
0.000 0.000 0.000 F
0.013 0.806 0.500 F
0.194 0.694 0.208 F
0.306 0.513 0.500 F
0.487 0.987 0.792 F
0.500 0.500 0.000 F
0.513 0.013 0.208 F
0.694 0.487 0.500 F
0.806 0.306 0.792 F
0.987 0.194 0.500 F
```

# 8
The following is a DFT calculation (PBE) of a relaxed structure of Cr2AgOs.

Total DFT energy (no corrections), eV/atom: -7.935
DFT formation energy, eV per formula unit: 1.6
Symmetry: Pmmm, No. 47

The structure in POSCAR format:
```
Cr2AgOs
1.0
2.763 0.000 0.000
0.000 3.737 0.000
0.000 0.000 5.552
Cr Ag Os
2 1 1
Direct
0.000 0.000 0.200 Cr
0.000 0.000 0.800 Cr
0.500 0.500 0.500 Ag
0.500 0.500 0.000 Os
```

# 9
The following is a DFT calculation (PBE) of a relaxed structure of Tl3SnN.

Total DFT energy (no corrections), eV/atom: -2.382
Uncorrected formation energy, meV per atom: 1504
Symmetry: Pm-3m, No. 221

The structure in POSCAR format:
```
Tl3SnN
1.0
5.840 0.000 0.000
0.000 5.840 0.000
0.000 0.000 5.840
Tl Sn N
3 1 1
Direct
0.000 0.000 0.500 Tl
0.000 0.500 0.000 Tl
0.500 0.000 0.000 Tl
0.000 0.000 0.000 Sn
0.500 0.500 0.500 N
```

# 10
The following is a DFT calculation (PBE) of a relaxed structure of BeAlCoCl2.

Total DFT energy (no corrections), eV/atom: -3.310
Uncorrected formation energy, meV per atom: 343
Symmetry: P4/mmm, No. 123

The structure in POSCAR format:
```
BeAlCoCl2
1.0
4.051 0.000 0.000
0.000 4.051 0.000
0.000 0.000 7.967
Be Al Co Cl
1 1 1 2
Direct
0.000 0.000 0.000 Be
0.000 0.000 0.500 Al
0.500 0.500 0.500 Co
0.000 0.500 0.000 Cl
0.500 0.000 0.000 Cl
```

# 11
The following is a DFT calculation (PBE) of a relaxed structure of LaCdBr6.

Total DFT energy (no corrections), eV/atom: -3.135
Uncorrected formation energy, meV per atom: -1150
Symmetry: P-1, No. 2

The structure in POSCAR format:
```
LaCdBr6
1.0
7.070 0.000 0.000
-3.522 6.371 0.000
-0.596 -3.750 6.478
La Cd Br
1 1 6
Direct
0.000 0.000 0.000 La
0.500 0.000 0.500 Cd
0.063 0.496 0.187 Br
0.246 0.121 0.732 Br
0.447 0.200 0.284 Br
0.553 0.800 0.716 Br
0.754 0.879 0.268 Br
0.937 0.504 0.813 Br
```

# 12
The following is a DFT calculation (PBE) of a relaxed structure of BiSbPt4.

Total DFT energy (no corrections), eV/atom: -5.497
Uncorrected formation energy, meV per atom: -136
Symmetry: P-1, No. 2

The structure in POSCAR format:
```
BiSbPt4
1.0
4.817 0.000 0.000
-2.126 6.447 0.000
-1.598 -1.546 7.671
Bi Sb Pt
2 2 8
Direct
0.162 0.276 0.468 Bi
0.838 0.724 0.532 Bi
0.000 0.500 0.000 Sb
0.500 0.000 0.000 Sb
0.056 0.133 0.873 Pt
0.240 0.641 0.333 Pt
0.444 0.590 0.844 Pt
0.469 0.930 0.660 Pt
0.531 0.070 0.340 Pt
0.556 0.410 0.156 Pt
0.760 0.359 0.667 Pt
0.944 0.867 0.127 Pt
```

Number 1: M_tot 0.000 μB/f.u.. Number 2: M_tot 0.006 μB/f.u.. Number 3: M_tot 0.000 μB/f.u.. Number 4: M_tot 0.000 μB/f.u.. Number 5: M_tot 0.000 μB/f.u.. Number 6: M_tot 0.932 μB/f.u.. Number 7: M_tot 0.000 μB/f.u.. Number 8: M_tot 0.000 μB/f.u.. Number 9: M_tot 0.000 μB/f.u.. Number 10: M_tot 1.932 μB/f.u.. Number 11: M_tot 1.047 μB/f.u.. Number 12: M_tot 0.000 μB/f.u..